(1)
AcIrPb: optimized geometry, GGA-PBE.

```
AcIrPb
1.0
4.7943 0.0000 0.0000
-2.3971 4.1346 -0.3000
0.0000 -2.1302 9.0258
Ac Ir Pb
2 2 2
Cartesian
2.3971 1.5277 2.0189
0.0000 0.4767 6.7069
2.3971 1.7488 5.1089
0.0000 0.2556 3.6169
2.3971 -1.0651 4.5129
0.0000 0.0000 0.0000
```

Space-group type   No. 12
Calculated density   11.830 Mg/m³
E_form   -0.2620 eV/atom
Electronic total energy   -5.82 eV/atom
ΔE to the lowest computed polymorph   209 meV/atom
Total magnetic moment   0.000 μB per atom

(2)
TbNpPa2N4: optimized geometry, GGA-PBE.

```
TbNpPa2N4
1.0
3.4904 0.0000 0.0000
0.0000 6.0603 0.1063
0.0000 -2.1158 5.6475
N Np Pa Tb
4 1 2 1
Cartesian
1.7452 0.9931 1.4878
0.0000 -0.0751 4.2319
0.0000 4.0195 1.5218
1.7452 2.9514 4.2660
1.7452 3.0302 0.0531
0.0000 1.9722 2.8769
1.7452 -1.0579 2.8237
0.0000 0.0000 0.0000
```

Space-group type   No. 10
Calculated density   12.622 Mg/m³
Electronic total energy   -10.23 eV/atom
Formation energy from raw total energies   -12.0 eV/f.u.
Total magnetic moment   0.454 μB per atom

(3)
Re2SeBr: optimized geometry, GGA-PBE.

```
Re2SeBr
1.0
3.7180 -0.0016 0.0206
2.5030 2.7492 0.0206
1.4824 0.6547 8.8633
Re Se Br
2 1 1
Cartesian
6.0535 2.6737 8.5025
1.3833 0.6110 6.9415
3.7846 1.6716 5.1197
1.8161 0.8021 1.6566
```

Space-group type   No. 8
Calculated density   9.745 Mg/m³
Electronic total energy   -7.33 eV/atom
ΔE to the lowest computed polymorph   0 meV/atom
Formation energy from raw total energies   0.7 eV/f.u.
Total magnetic moment   0.000 μB per atom

(4)
ZrBeMo3: optimized geometry, GGA-PBE.

```
ZrBeMo3
1.0
4.3510 0.0000 0.0000
0.0000 4.3510 0.0000
0.0000 0.0000 4.3510
Mo Be Zr
3 1 1
Cartesian
2.1755 0.0000 0.0000
0.0000 2.1755 0.0000
0.0000 0.0000 2.1755
0.0000 0.0000 0.0000
2.1755 2.1755 2.1755
```

Space-group type   No. 221
Calculated density   7.823 Mg/m³
E_form   0.5471 eV/atom
Electronic total energy   -8.41 eV/atom
ΔE to the lowest computed polymorph   0 meV/atom
Total magnetic moment   0.000 μB per atom

(5)
ThTl2Hg: optimized geometry, GGA-PBE.

```
ThTl2Hg
1.0
4.7699 0.0000 0.0000
0.0000 4.7868 0.0000
0.0000 0.0000 4.7868
Tl Hg Th
2 1 1
Cartesian
0.0000 2.3934 0.0000
0.0000 0.0000 2.3934
2.3850 0.0000 0.0000
2.3850 2.3934 2.3934
```

Space-group type   No. 123
Calculated density   12.784 Mg/m³
E_form   -0.1874 eV/atom
Electronic total energy   -3.30 eV/atom
Total magnetic moment   0.000 μB per atom

(6)
HfAgSe3: optimized geometry, GGA-PBE.

```
HfAgSe3
1.0
-3.1566 -0.0533 4.1049
4.0410 -0.9525 3.0951
0.7232 5.0899 0.6222
Se Ag Hf
3 1 1
Cartesian
0.3616 2.5449 0.3111
-1.5783 -0.0267 2.0524
2.0205 -0.4763 1.5475
0.8038 2.0420 3.9111
0.0000 0.0000 0.0000
```

Space-group type   No. 221
Calculated density   6.257 Mg/m³
Electronic total energy   -4.98 eV/atom
ΔE to the lowest computed polymorph   302 meV/atom
Formation energy from raw total energies   -1.7 eV/f.u.
Total magnetic moment   0.000 μB per atom

(7)
Tb3Tm2ScBi6: optimized geometry, GGA-PBE.

```
Tb3Tm2ScBi6
1.0
4.4384 0.0000 0.0000
0.0000 8.8663 0.3258
-2.2192 -2.5424 9.3241
Bi Sc Tb Tm
6 1 3 2
Cartesian
2.2192 -0.0818 3.0563
2.2192 4.2004 9.5695
0.0000 6.4058 6.5936
2.2192 4.2974 3.3173
0.0000 2.0265 6.3326
0.0000 2.1235 0.0804
2.2192 0.0000 0.0000
2.2192 4.4332 0.1629
0.0000 6.5411 3.4051
2.2192 -0.2172 6.2448
2.2192 4.2185 6.4479
0.0000 2.1054 3.2020
```

Space-group type   No. 12
Calculated density   9.470 Mg/m³
E_form   -0.8058 eV/atom
Electronic total energy   -5.18 eV/atom
Total magnetic moment   0.000 μB per atom

(8)
DyYRuPb: optimized geometry, GGA-PBE.

```
DyYRuPb
1.0
3.4311 0.0000 0.0000
0.0000 3.4311 0.0000
0.0000 0.0000 8.2649
Dy Pb Ru Y
1 1 1 1
Cartesian
1.7155 1.7155 3.0570
0.0000 0.0000 0.5911
0.0000 0.0000 4.7067
1.7155 1.7155 6.3956
```

Space-group type   No. 99
Calculated density   9.552 Mg/m³
E_form   -0.4655 eV/atom
Electronic total energy   -6.48 eV/atom
ΔE to the lowest computed polymorph   0 meV/atom
Total magnetic moment   0.000 μB per atom